Here is TlCd2Hg after structural relaxation from the Alexandria database. Energies are from GGA-PBE.

a b c (Å): 3.2357 5.8249 11.1464
angles (deg): 90.00 90.00 90.00
Space group Cmm2 (No. 35)
One atom of each set of equivalent atoms:
Tl: 0.0000 0.0000 0.0000 x2
Cd: 0.0000 0.0000 0.4970 x2
Cd: 0.0000 0.5000 0.2619 x2
Hg: 0.0000 0.5000 0.7370 x2

Results
- Mass density: 9.96 g/cm3
- Excess energy over the best structure of this formula in the dataset: 0.11 eV per formula unit
- ΔH_f (0 K): 46 meV/atom


Here is Tl3Cd3Hg2 after structural relaxation from the Alexandria database. Energies are from GGA-PBE.

a b c (Å): 4.8753 11.7232 15.6212
angles (deg): 90.00 90.00 90.00
Space group Cmcm (No. 63)
One atom of each set of equivalent atoms:
Tl: 0.0000 0.0703 0.1125 x8
Tl: 0.0000 0.3385 0.2500 x4
Cd: 0.0000 0.3824 0.0342 x8
Cd: 0.0000 0.3983 0.7500 x4
Hg: 0.0000 0.2146 0.6148 x8

Results
- Mass density: 10.05 g/cm3
- Excess energy over the best structure of this formula in the dataset: 0.03 eV per formula unit
- ΔH_f (0 K): 28 meV/atom


Here is Tl5Cd2Hg6 after structural relaxation from the Alexandria database. Energies are from GGA-PBE.

a b c (Å): 8.7102 8.7102 22.5201
angles (deg): 90.00 90.00 120.00
Space group R-3m (No. 166, hexagonal axes)
One atom of each set of equivalent atoms:
Tl: 0.0000 0.0000 0.0000 x3
Tl: 0.0000 0.0000 0.2702 x6
Tl: 0.0000 0.0000 0.4163 x6
Cd: 0.0000 0.0000 0.1277 x6
Hg: 0.0000 0.3302 0.5000 x18

Results
- Mass density: 8.25 g/cm3
- ΔH_f (0 K): 207 meV/atom